This record from the Alexandria database describes a relaxed LiFeBO3 crystal. The functional is PBE+U.

* ΔE to the lowest computed polymorph: 2.6 meV per atom
* size of the total moment: 0.67 μB/atom

```
36
Lattice="-2.293 0.541 2.112 -4.359 -6.195 -3.083 6.316 -8.943 8.984" Properties=species:S:1:pos:R:3 pbc="T T T"
Li -2.908 -4.280 -1.559
Li -1.040 -6.631 1.157
Li -0.248 -2.660 1.022
Li 2.428 -5.651 4.469
Li 0.762 -10.240 3.943
Li 4.373 -8.019 7.131
Fe 1.301 -8.016 6.129
Fe 0.453 -12.241 6.474
Fe -4.136 -6.624 0.176
Fe 3.378 -10.412 9.053
Fe -1.950 -9.039 2.995
Fe -0.595 -4.652 3.574
B 1.810 -2.911 3.261
B -0.233 0.052 0.217
B 2.868 -10.496 6.146
B -2.543 -4.256 1.264
B 2.826 -5.637 7.265
B 0.703 -7.505 3.203
O -1.699 -9.924 0.919
O 3.617 -11.292 7.007
O 0.766 -3.478 2.530
O 1.788 -11.034 5.453
O -3.900 -6.973 -1.995
O -1.185 -10.489 4.277
O 3.427 -6.579 8.092
O 2.048 -13.740 6.037
O -2.363 -7.727 0.163
O -2.190 -2.914 1.363
O 0.997 -6.151 3.146
O 1.384 -8.326 4.092
O 1.863 -6.041 6.337
O -3.459 -4.669 0.300
O -1.977 -5.191 2.129
O 3.199 -9.150 5.976
O 5.062 -9.407 8.417
O -0.266 -8.040 2.367
```